Record 1
Here is crystalline Ho2TmSc3Sb6 at its relaxed geometry from the Alexandria database. Energies are from GGA-PBE.

Lattice parameters (Å, degrees): 7.3873 7.3873 7.3736 99.60 99.60 120.02
Fractional coordinates of all 12 atoms:
Ho 0.1664 0.8336 0.0000
Ho 0.8336 0.1664 0.0000
Tm 0.5000 0.5000 0.0000
Sc 0.0000 0.0000 0.5000
Sc 0.3326 0.6674 0.5000
Sc 0.6674 0.3326 0.5000
Sb 0.0804 0.4125 0.7371
Sb 0.2560 0.2560 0.2636
Sb 0.4125 0.0804 0.7371
Sb 0.5875 0.9196 0.2629
Sb 0.7440 0.7440 0.7364
Sb 0.9196 0.5875 0.2629

- symmetry = No. 12
- uncorrected energy (eV per atom) = -5.793

Record 2
Here is crystalline Dy2HoEr2Tm2 at its relaxed geometry from the Alexandria database. Energies are from GGA-PBE.

Lattice parameters (Å, degrees): 8.6489 8.6489 8.6489 37.70 37.70 37.70
Fractional coordinates of all 7 atoms:
Dy 0.1417 0.1417 0.1417
Dy 0.8583 0.8583 0.8583
Ho 0.0000 0.0000 0.0000
Er 0.2851 0.2851 0.2851
Er 0.7149 0.7149 0.7149
Tm 0.4282 0.4282 0.4282
Tm 0.5718 0.5718 0.5718

- symmetry = No. 166
- energy relative to the elements (eV per atom) = 0.143

Record 3
Here is crystalline Pr12Tl6Ga at its relaxed geometry from the Alexandria database. Energies are from GGA-PBE.

Lattice parameters (Å, degrees): 8.5432 8.5432 8.5432 92.94 92.94 92.94
Fractional coordinates of all 19 atoms:
Pr 0.0510 0.9471 0.6939
Pr 0.0529 0.3061 0.9490
Pr 0.1595 0.3973 0.5001
Pr 0.3061 0.9490 0.0529
Pr 0.3973 0.5001 0.1595
Pr 0.5001 0.1595 0.3973
Pr 0.4999 0.8405 0.6027
Pr 0.6027 0.4999 0.8405
Pr 0.6939 0.0510 0.9471
Pr 0.8405 0.6027 0.4999
Pr 0.9471 0.6939 0.0510
Pr 0.9490 0.0529 0.3061
Tl 0.1900 0.7653 0.3642
Tl 0.2347 0.6358 0.8100
Tl 0.3642 0.1900 0.7653
Tl 0.6358 0.8100 0.2347
Tl 0.7653 0.3642 0.1900
Tl 0.8100 0.2347 0.6358
Ga 0.5000 0.5000 0.5000

- symmetry = No. 148
- energy relative to the elements (eV per atom) = -0.210

Record 4
Here is crystalline PaBr4Cl4 at its relaxed geometry from the Alexandria database. Energies are from GGA-PBE.

Lattice parameters (Å, degrees): 8.0604 8.0604 8.0604 98.42 98.42 135.01
Fractional coordinates of all 9 atoms:
Pa 0.0000 0.0000 0.0000
Br 0.3648 0.3648 0.7295
Br 0.3648 0.6352 0.0000
Br 0.6352 0.3648 0.0000
Br 0.6352 0.6352 0.2705
Cl 0.0000 0.2377 0.2377
Cl 0.0000 0.7623 0.7623
Cl 0.2377 0.0000 0.2377
Cl 0.7623 0.0000 0.7623

- symmetry = No. 139
- uncorrected energy (eV per atom) = -3.384

Record 5
Here is crystalline Rb2AlTeSe4 at its relaxed geometry from the Alexandria database. Energies are from GGA-PBE.

Lattice parameters (Å, degrees): 13.7104 11.8313 8.5277 82.96 58.92 38.12
Fractional coordinates of all 16 atoms:
Rb 0.0492 0.0492 0.7008
Rb 0.2992 0.2992 0.9508
Rb 0.7008 0.7008 0.0492
Rb 0.9508 0.9508 0.2992
Al 0.3750 0.3750 0.3750
Al 0.6250 0.6250 0.6250
Te 0.1250 0.1250 0.1250
Te 0.8750 0.8750 0.8750
Se 0.0157 0.6458 0.5237
Se 0.3149 0.5237 0.6458
Se 0.3542 0.9843 0.6851
Se 0.4763 0.6851 0.9843
Se 0.5237 0.3149 0.0157
Se 0.6458 0.0157 0.3149
Se 0.6851 0.4763 0.3542
Se 0.9843 0.3542 0.4763

- symmetry = No. 70
- uncorrected energy (eV per atom) = -3.535

Record 6
Here is crystalline CaTb2Zn at its relaxed geometry from the Alexandria database. Energies are from GGA-PBE.

Lattice parameters (Å, degrees): 3.6436 3.6436 9.0191 90.00 90.00 90.00
Fractional coordinates of all 4 atoms:
Ca 0.0000 0.0000 0.0000
Tb 0.5000 0.5000 0.3138
Tb 0.5000 0.5000 0.6862
Zn 0.0000 0.0000 0.5000

- symmetry = No. 123
- energy above the lowest structure with this stoichiometry (eV per atom) = 0.000
- energy relative to the elements (eV per atom) = -0.110

Record 7
Here is crystalline PrErIn4 at its relaxed geometry from the Alexandria database. Energies are from GGA-PBE.

Lattice parameters (Å, degrees): 10.4376 18.1678 3.5024 90.00 90.00 90.00
Fractional coordinates of all 24 atoms:
Pr 0.0822 0.1362 0.0000
Pr 0.4178 0.6362 0.0000
Pr 0.5822 0.3638 0.0000
Pr 0.9178 0.8638 0.0000
Er 0.1180 0.4254 0.0000
Er 0.3820 0.9254 0.0000
Er 0.6180 0.0746 0.0000
Er 0.8820 0.5746 0.0000
In 0.0097 0.2900 0.5000
In 0.1304 0.9701 0.5000
In 0.1521 0.5770 0.5000
In 0.2072 0.8078 0.5000
In 0.2928 0.3078 0.5000
In 0.3479 0.0770 0.5000
In 0.3696 0.4701 0.5000
In 0.4903 0.7900 0.5000
In 0.5097 0.2100 0.5000
In 0.6304 0.5299 0.5000
In 0.6521 0.9230 0.5000
In 0.7072 0.6922 0.5000
In 0.7928 0.1922 0.5000
In 0.8479 0.4230 0.5000
In 0.8696 0.0299 0.5000
In 0.9903 0.7100 0.5000

- symmetry = No. 55
- energy above the lowest structure with this stoichiometry (eV per atom) = 0.081
- energy relative to the elements (eV per atom) = -0.319

Record 8
Here is crystalline BaMg4Rh at its relaxed geometry from the Alexandria database. Energies are from GGA-PBE.

Lattice parameters (Å, degrees): 5.0042 5.0042 7.8182 90.00 90.00 90.00
Fractional coordinates of all 6 atoms:
Ba 0.0000 0.0000 0.0000
Mg 0.0000 0.5000 0.5000
Mg 0.5000 0.0000 0.5000
Mg 0.5000 0.5000 0.1873
Mg 0.5000 0.5000 0.8127
Rh 0.5000 0.5000 0.5000

- symmetry = No. 123
- energy above the lowest structure with this stoichiometry (eV per atom) = 0.000
- energy relative to the elements (eV per atom) = -0.058